[1]
The following is a DFT calculation (PBE) of a relaxed La2Mg6Ag3 crystal.

Unit cell a=8.8792 b=8.8792 c=4.0492 alpha=90.00 beta=90.00 gamma=120.00
Space group P-62m (No. 189)
Unique sites:
La 0.3333 0.6667 0.0000 x2
Mg 0.0000 0.3002 0.5000 x3
Mg 0.0000 0.8047 0.0000 x3
Ag 0.0000 0.6062 0.5000 x3

Calculated values
- Magnetic moment: 0.00 μB per cell
- Calculated formation energy: -138 meV/atom
- Mass density: 4.5 g/cm³
- D(E_F): 0.80 states/eV/atom



[2]
The following is a DFT calculation (PBE) of a relaxed La2Mg9Ag6 crystal.

Unit cell a=5.9607 b=5.9607 c=13.6919 alpha=90.00 beta=90.00 gamma=120.00
Space group P6/mmm (No. 191)
Unique sites:
La 0.0000 0.0000 0.1557 x2
Mg 0.0000 0.5000 0.0000 x3
Mg 0.0000 0.5000 0.3368 x6
Ag 0.3333 0.6667 0.1705 x4
Ag 0.3333 0.6667 0.5000 x2

Calculated values
- Magnetic moment: 0.00 μB per cell
- Calculated formation energy: -100 meV/atom
- Mass density: 4.5 g/cm³
- D(E_F): 0.48 states/eV/atom



[3]
The following is a DFT calculation (PBE) of a relaxed LaMg2Ag2 crystal.

Unit cell a=8.378 b=8.378 c=3.274 alpha=90.00 beta=90.00 gamma=90.00
Space group P4/mbm (No. 127)
Unique sites:
La 0.000 0.000 0.000 x2
Mg 0.161 0.339 0.500 x4
Ag 0.129 0.629 0.000 x4

Calculated values
- Distance to the lowest polymorph of the same formula: 0.106 eV per atom
- Magnetic moment: 0.51 μB per cell
- Calculated formation energy: -140 meV/atom
- Mass density: 5.8 g/cm³
- D(E_F): 0.73 states/eV/atom



[4]
The following is a DFT calculation (PBE) of a relaxed La5MgAg crystal.

Unit cell a=8.745 b=8.555 c=12.615 alpha=90.00 beta=104.56 gamma=90.00
Space group C2/c (No. 15)
Unique sites:
La 0.000 0.028 0.250 x4
La 0.143 0.365 0.062 x8
La 0.221 0.320 0.364 x8
Mg 0.000 0.367 0.750 x4
Ag 0.000 0.000 0.000 x4

Calculated values
- Magnetic moment: 0.00 μB per cell
- Calculated formation energy: 12 meV/atom
- Mass density: 6.0 g/cm³
- D(E_F): 1.43 states/eV/atom